1.
A geometry-optimized ScTl2Pd9 structure, computed with PBE-GGA.

Computed properties:
**D(E_F)**: 0.902 states/eV per atom
**Space group**: P4/mmm (123)
**E_form**: -0.42 eV/atom
**E_tot**: -0.19232 Ha/atom

```
ScTl2Pd9
1.0
4.0441 0.0000 0.0000
0.0000 4.0441 0.0000
0.0000 0.0000 12.2823
Sc Tl Pd
1 2 9
Cartesian
0.0000 0.0000 0.0000
0.0000 0.0000 4.0931
0.0000 0.0000 8.1892
0.0000 2.0220 1.9719
0.0000 2.0220 6.1411
0.0000 2.0220 10.3104
2.0220 0.0000 1.9719
2.0220 0.0000 6.1411
2.0220 0.0000 10.3104
2.0220 2.0220 0.0000
2.0220 2.0220 4.0375
2.0220 2.0220 8.2447
```

2.
A geometry-optimized Sr2MnNbPt structure, computed with PBE-GGA.

Computed properties:
**D(E_F)**: 2.756 states/eV per atom
**Space group**: P4/mmm (123)
**E_form**: 1.49 eV/atom
**E_tot**: -0.15583 Ha/atom

```
Sr2MnNbPt
1.0
5.8483 0.0000 0.0000
0.0000 5.8483 0.0000
0.0000 0.0000 4.8240
Sr Mn Nb Pt
2 1 1 1
Cartesian
0.0000 2.9242 0.0000
2.9242 0.0000 0.0000
0.0000 0.0000 2.4120
2.9242 2.9242 0.0000
2.9242 2.9242 2.4120
```

3.
A geometry-optimized Sc3ZnSb structure, computed with PBE-GGA.

Computed properties:
**D(E_F)**: 0.383 states/eV per atom
**Excess energy over the best structure of this formula in the dataset**: 0.00 eV per formula unit
**Space group**: Pm-3m (221)
**E_tot**: -0.18470 Ha/atom
**Formation energy without anion corrections**: -147.8 meV per atom

```
Sc3ZnSb
1.0
4.9881 0.0000 0.0000
0.0000 4.9881 0.0000
0.0000 0.0000 4.9881
Sc Zn Sb
3 1 1
Cartesian
0.0000 0.0000 2.4941
0.0000 2.4941 0.0000
2.4941 0.0000 0.0000
0.0000 0.0000 0.0000
2.4941 2.4941 2.4941
```

4.
A geometry-optimized Nd6Ge2PbS3 structure, computed with PBE-GGA.

Computed properties:
**D(E_F)**: 0.318 states/eV per atom
**Space group**: C2/m (12)
**E_tot**: -0.21519 Ha/atom
**Formation energy without anion corrections**: -1361.1 meV per atom

```
Nd6Ge2PbS3
1.0
9.2672 -2.1112 0.0000
9.2672 2.1112 0.0000
-2.0062 0.0000 8.3178
Nd Ge Pb S
6 2 1 3
Cartesian
-0.4505 0.0000 1.9184
5.2253 0.0000 3.4249
4.3174 0.0000 7.6269
12.2107 0.0000 0.6909
11.3028 0.0000 4.8929
16.9786 0.0000 6.3994
1.4104 0.0000 6.9299
15.1178 0.0000 1.3878
8.2641 0.0000 4.1589
2.4230 0.0000 2.7584
9.2672 0.0000 0.0000
14.1052 0.0000 5.5593
```

5.
A geometry-optimized LiTbSmLu structure, computed with PBE-GGA.

Computed properties:
**D(E_F)**: 0.969 states/eV per atom
**Space group**: F-43m (216)
**E_form**: 0.15 eV/atom
**E_tot**: -0.13940 Ha/atom

```
LiTbSmLu
1.0
0.0000 3.8685 3.8685
3.8685 0.0000 3.8685
3.8685 3.8685 0.0000
Li Tb Sm Lu
1 1 1 1
Cartesian
0.0000 0.0000 0.0000
5.8028 5.8028 5.8028
1.9343 1.9343 1.9343
3.8685 3.8685 3.8685
```

6.
A geometry-optimized KTiBi2 structure, computed with PBE-GGA.

Computed properties:
**D(E_F)**: 0.855 states/eV per atom
**Excess energy over the best structure of this formula in the dataset**: 1.39 eV per formula unit
**Space group**: Fm-3m (225)
**E_form**: 0.17 eV/atom
**E_tot**: -0.14752 Ha/atom

```
KTiBi2
1.0
0.0000 3.8165 3.8165
3.8165 0.0000 3.8165
3.8165 3.8165 0.0000
K Ti Bi
1 1 2
Cartesian
0.0000 0.0000 0.0000
3.8165 3.8165 3.8165
1.9083 1.9083 1.9083
5.7248 5.7248 5.7248
```

7.
A geometry-optimized CrGaAs structure, computed with PBE-GGA.

Computed properties:
**D(E_F)**: 0.186 states/eV per atom
**Excess energy over the best structure of this formula in the dataset**: 0.23 eV per formula unit
**Space group**: Cm (8)
**E_form**: -0.04 eV/atom
**E_tot**: -0.21338 Ha/atom

```
CrGaAs
1.0
2.8924 -5.8417 0.0000
2.8924 5.8417 0.0000
-0.6743 0.0000 2.8489
Cr Ga As
2 2 2
Cartesian
0.0000 0.0000 0.0000
3.0856 0.0000 0.7165
1.3694 1.4884 1.7496
1.3694 -1.4884 1.7496
4.4861 1.7918 1.3330
4.4861 -1.7918 1.3330
```

8.
A geometry-optimized YSc2S structure, computed with PBE-GGA.

Computed properties:
**D(E_F)**: 0.591 states/eV per atom
**Space group**: R-3m (166)
**E_tot**: -0.23989 Ha/atom
**Formation energy without anion corrections**: -714.0 meV per atom

```
YSc2S
1.0
1.7469 1.0086 9.3783
-1.7469 1.0086 9.3783
0.0000 -2.0171 9.3783
Y Sc S
1 2 1
Cartesian
0.0000 0.0000 0.0000
0.0000 0.0000 3.1958
0.0000 0.0000 24.9392
0.0000 0.0000 14.0675
```